Entry 1:
MgTl2S4: optimized geometry, PBE.

Output
The calculation puts the formation energy (no corrections) at -0.443 eV per atom.

Geometry as CIF:
```
data_MgTl2S4
_chemical_formula_sum 'Mg4 Tl8 S16'
_cell_length_a 7.844
_cell_length_b 7.866
_cell_length_c 11.047
_cell_angle_alpha 90.00
_cell_angle_beta 90.00
_cell_angle_gamma 90.00
_symmetry_space_group_name_H-M 'I m m a'
_symmetry_Int_Tables_number 74
_symmetry_space_group_name_Hall '-I 2b 2'
loop_
_atom_site_label
_atom_site_type_symbol
_atom_site_fract_x
_atom_site_fract_y
_atom_site_fract_z
_atom_site_occupancy
Mg1 Mg 0.000 0.000 0.000 1
Tl1 Tl 0.000 0.250 0.384 1
Tl2 Tl 0.250 0.250 0.750 1
S1 S 0.000 0.011 0.764 1
S2 S 0.220 0.250 0.994 1
```

---

Entry 2:
Mg3TlS: optimized geometry, PBE.

Output
The calculation puts the formation energy (no corrections) at -0.239 eV per atom. The energy above the most stable polymorph in this dataset is 0.0000 eV per atom.

Geometry as CIF:
```
data_Mg3TlS
_chemical_formula_sum 'Mg3 Tl1 S1'
_cell_length_a 4.909
_cell_length_b 4.909
_cell_length_c 4.909
_cell_angle_alpha 90.00
_cell_angle_beta 90.00
_cell_angle_gamma 90.00
_symmetry_space_group_name_H-M 'P m -3 m'
_symmetry_Int_Tables_number 221
_symmetry_space_group_name_Hall '-P 4 2 3'
loop_
_atom_site_label
_atom_site_type_symbol
_atom_site_fract_x
_atom_site_fract_y
_atom_site_fract_z
_atom_site_occupancy
Mg1 Mg 0.000 0.000 0.500 1
Tl1 Tl 0.500 0.500 0.500 1
S1 S 0.000 0.000 0.000 1
```

---

Entry 3:
MgTlS2: optimized geometry, PBE.

Output
The calculation puts the formation energy (no corrections) at -0.676 eV per atom.

Geometry as CIF:
```
data_MgTlS2
_chemical_formula_sum 'Mg4 Tl4 S8'
_cell_length_a 6.081
_cell_length_b 6.081
_cell_length_c 12.150
_cell_angle_alpha 90.00
_cell_angle_beta 90.00
_cell_angle_gamma 90.00
_symmetry_space_group_name_H-M 'I -4 2 d'
_symmetry_Int_Tables_number 122
_symmetry_space_group_name_Hall 'I -4 2bw'
loop_
_atom_site_label
_atom_site_type_symbol
_atom_site_fract_x
_atom_site_fract_y
_atom_site_fract_z
_atom_site_occupancy
Mg1 Mg 0.000 0.000 0.000 1
Tl1 Tl 0.000 0.000 0.500 1
S1 S 0.204 0.250 0.125 1
```

---

Entry 4:
MgTlS: optimized geometry, PBE.

Output
The calculation puts the formation energy (no corrections) at -0.667 eV per atom. The energy above the most stable polymorph in this dataset is 0.0850 eV per atom.

Geometry as CIF:
```
data_MgTlS
_chemical_formula_sum 'Mg2 Tl2 S2'
_cell_length_a 3.929
_cell_length_b 6.494
_cell_length_c 6.792
_cell_angle_alpha 69.01
_cell_angle_beta 89.99
_cell_angle_gamma 89.94
_symmetry_space_group_name_H-M 'P 1'
_symmetry_Int_Tables_number 1
loop_
_symmetry_equiv_pos_as_xyz
'x,y,z'
loop_
_atom_site_label
_atom_site_type_symbol
_atom_site_fract_x
_atom_site_fract_y
_atom_site_fract_z
_atom_site_occupancy
Mg1 Mg 0.000 0.000 0.000 1
Mg2 Mg 0.499 0.000 0.500 1
Tl1 Tl 0.498 0.602 0.967 1
Tl2 Tl 0.996 0.602 0.466 1
S1 S 0.499 0.139 0.119 1
S2 S 0.998 0.139 0.619 1
```

---

Entry 5:
MgTlS3: optimized geometry, PBE.

Output
The calculation puts the formation energy (no corrections) at -0.028 eV per atom. The energy above the most stable polymorph in this dataset is 0.0000 eV per atom.

Geometry as CIF:
```
data_MgTlS3
_chemical_formula_sum 'Mg1 Tl1 S3'
_cell_length_a 4.967
_cell_length_b 4.967
_cell_length_c 4.967
_cell_angle_alpha 90.00
_cell_angle_beta 90.00
_cell_angle_gamma 90.00
_symmetry_space_group_name_H-M 'P m -3 m'
_symmetry_Int_Tables_number 221
_symmetry_space_group_name_Hall '-P 4 2 3'
loop_
_atom_site_label
_atom_site_type_symbol
_atom_site_fract_x
_atom_site_fract_y
_atom_site_fract_z
_atom_site_occupancy
Mg1 Mg 0.000 0.000 0.000 1
Tl1 Tl 0.500 0.500 0.500 1
S1 S 0.000 0.000 0.500 1
```

---

Entry 6:
Mg3TlS: optimized geometry, PBE.

Output
The calculation puts the formation energy (no corrections) at 0.297 eV per atom. The energy above the most stable polymorph in this dataset is 0.5357 eV per atom.

Geometry as CIF:
```
data_Mg3TlS
_chemical_formula_sum 'Mg3 Tl1 S1'
_cell_length_a 5.264
_cell_length_b 5.264
_cell_length_c 5.264
_cell_angle_alpha 90.00
_cell_angle_beta 90.00
_cell_angle_gamma 90.00
_symmetry_space_group_name_H-M 'P m -3 m'
_symmetry_Int_Tables_number 221
_symmetry_space_group_name_Hall '-P 4 2 3'
loop_
_atom_site_label
_atom_site_type_symbol
_atom_site_fract_x
_atom_site_fract_y
_atom_site_fract_z
_atom_site_occupancy
Mg1 Mg 0.000 0.000 0.500 1
Tl1 Tl 0.000 0.000 0.000 1
S1 S 0.500 0.500 0.500 1
```

---

Entry 7:
Tm2MgTl3S6: optimized geometry, PBE.

Output
The calculation puts the formation energy (no corrections) at -1.212 eV per atom.

Geometry as CIF:
```
data_Tm2MgTl3S6
_chemical_formula_sum 'Tm4 Mg2 Tl6 S12'
_cell_length_a 6.856
_cell_length_b 11.874
_cell_length_c 7.588
_cell_angle_alpha 90.00
_cell_angle_beta 107.53
_cell_angle_gamma 90.00
_symmetry_space_group_name_H-M 'C 1 2/m 1'
_symmetry_Int_Tables_number 12
loop_
_symmetry_equiv_pos_as_xyz
'x,y,z'
'-x,-y,-z'
'-x,y,-z'
'x,-y,z'
'x+1/2,y+1/2,z'
'-x+1/2,-y+1/2,-z'
'-x+1/2,y+1/2,-z'
'x+1/2,-y+1/2,z'
loop_
_atom_site_label
_atom_site_type_symbol
_atom_site_fract_x
_atom_site_fract_y
_atom_site_fract_z
_atom_site_occupancy
Tm1 Tm 0.000 0.167 0.000 1
Mg1 Mg 0.000 0.500 0.000 1
Tl1 Tl 0.000 0.000 0.500 1
Tl2 Tl 0.000 0.333 0.500 1
S1 S 0.231 0.335 0.198 1
S2 S 0.237 0.000 0.199 1
```

---

Entry 8:
MgU3Tl3S8: optimized geometry, PBE.

Output
The calculation puts the formation energy (no corrections) at -1.095 eV per atom.

Geometry as CIF:
```
data_MgU3Tl3S8
_chemical_formula_sum 'Mg3 U9 Tl9 S24'
_cell_length_a 7.8978
_cell_length_b 7.8978
_cell_length_c 22.8427
_cell_angle_alpha 90.00
_cell_angle_beta 90.00
_cell_angle_gamma 120.00
_symmetry_space_group_name_H-M 'R -3 m'
_symmetry_Int_Tables_number 166
_symmetry_space_group_name_Hall '-R 3 2"'
loop_
_atom_site_label
_atom_site_type_symbol
_atom_site_fract_x
_atom_site_fract_y
_atom_site_fract_z
_atom_site_occupancy
Mg1 Mg 0.0000 0.0000 0.0000 1
U1 U 0.0000 0.5000 0.0000 1
Tl1 Tl 0.0000 0.5000 0.5000 1
S1 S 0.0000 0.0000 0.2672 1
S2 S 0.0030 0.5015 0.7301 1
```

---

Entry 9:
Y2MgTl3S6: optimized geometry, PBE.

Output
The calculation puts the formation energy (no corrections) at -1.210 eV per atom.

Geometry as CIF:
```
data_Y2MgTl3S6
_chemical_formula_sum 'Y4 Mg2 Tl6 S12'
_cell_length_a 6.927
_cell_length_b 11.994
_cell_length_c 7.592
_cell_angle_alpha 90.00
_cell_angle_beta 107.72
_cell_angle_gamma 90.00
_symmetry_space_group_name_H-M 'C 1 2/m 1'
_symmetry_Int_Tables_number 12
loop_
_symmetry_equiv_pos_as_xyz
'x,y,z'
'-x,-y,-z'
'-x,y,-z'
'x,-y,z'
'x+1/2,y+1/2,z'
'-x+1/2,-y+1/2,-z'
'-x+1/2,y+1/2,-z'
'x+1/2,-y+1/2,z'
loop_
_atom_site_label
_atom_site_type_symbol
_atom_site_fract_x
_atom_site_fract_y
_atom_site_fract_z
_atom_site_occupancy
Y1 Y 0.000 0.167 0.000 1
Mg1 Mg 0.000 0.500 0.000 1
Tl1 Tl 0.000 0.000 0.500 1
Tl2 Tl 0.000 0.333 0.500 1
S1 S 0.230 0.337 0.201 1
S2 S 0.241 0.000 0.202 1
```

---

Entry 10:
Tm4Mg3S8: optimized geometry, PBE.

Output
The calculation puts the formation energy (no corrections) at -1.735 eV per atom.

Geometry as CIF:
```
data_Tm4Mg3S8
_chemical_formula_sum 'Tm8 Mg6 S16'
_cell_length_a 10.711
_cell_length_b 10.708
_cell_length_c 7.582
_cell_angle_alpha 90.00
_cell_angle_beta 134.70
_cell_angle_gamma 90.00
_symmetry_space_group_name_H-M 'C 1 2/m 1'
_symmetry_Int_Tables_number 12
loop_
_symmetry_equiv_pos_as_xyz
'x,y,z'
'-x,-y,-z'
'-x,y,-z'
'x,-y,z'
'x+1/2,y+1/2,z'
'-x+1/2,-y+1/2,-z'
'-x+1/2,y+1/2,-z'
'x+1/2,-y+1/2,z'
loop_
_atom_site_label
_atom_site_type_symbol
_atom_site_fract_x
_atom_site_fract_y
_atom_site_fract_z
_atom_site_occupancy
Tm1 Tm 0.000 0.000 0.000 1
Tm2 Tm 0.000 0.500 0.500 1
Tm3 Tm 0.250 0.250 0.000 1
Mg1 Mg 0.000 0.000 0.500 1
Mg2 Mg 0.250 0.250 0.500 1
S1 S 0.000 0.245 0.500 1
S2 S 0.000 0.252 0.000 1
S3 S 0.246 0.000 0.499 1
S4 S 0.248 0.000 0.993 1
```

---

Entry 11:
TmMg4S5: optimized geometry, PBE.

Output
The calculation puts the formation energy (no corrections) at -1.483 eV per atom.

Geometry as CIF:
```
data_TmMg4S5
_chemical_formula_sum 'Tm2 Mg8 S10'
_cell_length_a 3.738
_cell_length_b 3.738
_cell_length_c 26.665
_cell_angle_alpha 90.00
_cell_angle_beta 90.00
_cell_angle_gamma 90.00
_symmetry_space_group_name_H-M 'I 4/m m m'
_symmetry_Int_Tables_number 139
_symmetry_space_group_name_Hall '-I 4 2'
loop_
_atom_site_label
_atom_site_type_symbol
_atom_site_fract_x
_atom_site_fract_y
_atom_site_fract_z
_atom_site_occupancy
Tm1 Tm 0.000 0.000 0.000 1
Mg1 Mg 0.000 0.000 0.201 1
Mg2 Mg 0.000 0.000 0.396 1
S1 S 0.000 0.000 0.103 1
S2 S 0.000 0.000 0.299 1
S3 S 0.000 0.000 0.500 1
```

---

Entry 12:
Tm4MgS5: optimized geometry, PBE.

Output
The calculation puts the formation energy (no corrections) at -1.787 eV per atom.

Geometry as CIF:
```
data_Tm4MgS5
_chemical_formula_sum 'Tm8 Mg2 S10'
_cell_length_a 8.535
_cell_length_b 8.535
_cell_length_c 5.407
_cell_angle_alpha 90.00
_cell_angle_beta 90.00
_cell_angle_gamma 90.00
_symmetry_space_group_name_H-M 'I 4/m'
_symmetry_Int_Tables_number 87
_symmetry_space_group_name_Hall '-I 4'
loop_
_atom_site_label
_atom_site_type_symbol
_atom_site_fract_x
_atom_site_fract_y
_atom_site_fract_z
_atom_site_occupancy
Tm1 Tm 0.098 0.304 0.000 1
Mg1 Mg 0.000 0.000 0.500 1
S1 S 0.000 0.000 0.000 1
S2 S 0.097 0.287 0.500 1
```

---

Q: Look up the formation energy (no corrections) of the first one.
A: -0.443 eV per atom